1.
# PmY3

Crystalline PmY3 at its relaxed geometry (GGA-PBE, Alexandria via LeMat-Bulk).

Calculated values
The energy above the most stable polymorph in this dataset is 1.1 kJ per mole of atoms. The value obtained for the formation energy is 19 meV per atom. As for the total magnetization: 0.00 μB per formula unit.

Cell: 6.216 6.216 6.216 Å, 131.75 131.75 70.62°
Atoms (fractional coordinates):
Pm1 0.000 0.000 0.000
Y1 0.250 0.750 0.500
Y2 0.500 0.500 0.000
Y3 0.750 0.250 0.500

2.
# Ca3Mg2Pt3

Crystalline Ca3Mg2Pt3 at its relaxed geometry (GGA-PBE, Alexandria via LeMat-Bulk).

Calculated values
The value obtained for the formation energy is -798 meV per atom. As for the total magnetization: 0.00 μB per formula unit.

Cell: 8.360 8.360 5.832 Å, 90.00 90.00 120.00°
Atoms (fractional coordinates):
Ca1 0.000 0.266 0.250
Ca2 0.000 0.734 0.750
Ca3 0.266 0.000 0.250
Ca4 0.266 0.266 0.750
Ca5 0.734 0.000 0.750
Ca6 0.734 0.734 0.250
Mg1 0.333 0.667 0.000
Mg2 0.333 0.667 0.500
Mg3 0.667 0.333 0.000
Mg4 0.667 0.333 0.500
Pt1 0.000 0.399 0.750
Pt2 0.000 0.601 0.250
Pt3 0.399 0.000 0.750
Pt4 0.399 0.399 0.250
Pt5 0.601 0.000 0.250
Pt6 0.601 0.601 0.750

3.
# LaFeTe3

Crystalline LaFeTe3 at its relaxed geometry (GGA-PBE, Alexandria via LeMat-Bulk).

Calculated values
The formation energy (no corrections) comes out at 2.6 eV per formula unit. The energy above the most stable polymorph in this dataset is 92.4 kJ per mole of atoms. As for the total magnetization: 4.38 μB per formula unit.

Cell: 6.126 6.126 6.126 Å, 90.00 90.00 90.00°
Atoms (fractional coordinates):
La1 0.000 0.000 0.000
Fe1 0.500 0.500 0.500
Te1 0.000 0.000 0.500
Te2 0.000 0.500 0.000
Te3 0.500 0.000 0.000

4.
# Tb2Ho7Mg2

Crystalline Tb2Ho7Mg2 at its relaxed geometry (GGA-PBE, Alexandria via LeMat-Bulk).

Calculated values
The energy above the most stable polymorph in this dataset is 0.0 kJ per mole of atoms. The value obtained for the formation energy is 89 meV per atom. As for the total magnetization: 0.00 μB per formula unit.

Cell: 5.556 8.196 8.747 Å, 100.58 108.48 109.80°
Atoms (fractional coordinates):
Tb1 0.027 0.333 0.221
Tb2 0.973 0.667 0.779
Ho1 0.000 0.000 0.500
Ho2 0.265 0.817 0.213
Ho3 0.304 0.120 0.989
Ho4 0.390 0.716 0.563
Ho5 0.610 0.284 0.437
Ho6 0.696 0.880 0.011
Ho7 0.735 0.183 0.787
Mg1 0.346 0.424 0.770
Mg2 0.654 0.576 0.230

5.
# Tb7InSe5

Crystalline Tb7InSe5 at its relaxed geometry (GGA-PBE, Alexandria via LeMat-Bulk).

Calculated values
The formation energy (no corrections) comes out at -18.9 eV per formula unit. As for the total magnetization: 0.00 μB per formula unit.

Cell: 7.082 7.082 24.417 Å, 90.00 90.00 146.59°
Atoms (fractional coordinates):
Tb1 0.018 0.982 0.750
Tb2 0.138 0.862 0.036
Tb3 0.138 0.862 0.464
Tb4 0.317 0.683 0.677
Tb5 0.317 0.683 0.823
Tb6 0.406 0.594 0.114
Tb7 0.406 0.594 0.386
Tb8 0.594 0.406 0.614
Tb9 0.594 0.406 0.886
Tb10 0.683 0.317 0.177
Tb11 0.683 0.317 0.323
Tb12 0.862 0.138 0.536
Tb13 0.862 0.138 0.964
Tb14 0.982 0.018 0.250
In1 0.308 0.692 0.250
In2 0.692 0.308 0.750
Se1 0.048 0.952 0.140
Se2 0.048 0.952 0.360
Se3 0.225 0.775 0.572
Se4 0.225 0.775 0.928
Se5 0.500 0.500 0.000
Se6 0.500 0.500 0.500
Se7 0.775 0.225 0.072
Se8 0.775 0.225 0.428
Se9 0.952 0.048 0.640
Se10 0.952 0.048 0.860

6.
# CrReW2

Crystalline CrReW2 at its relaxed geometry (GGA-PBE, Alexandria via LeMat-Bulk).

Calculated values
The energy above the most stable polymorph in this dataset is 5.1 kJ per mole of atoms. The value obtained for the formation energy is 79 meV per atom. As for the total magnetization: 0.00 μB per formula unit.

Cell: 2.707 4.363 5.138 Å, 90.00 100.31 90.00°
Atoms (fractional coordinates):
Cr1 0.000 0.000 0.000
Re1 0.733 0.500 0.254
W1 0.235 0.500 0.766
W2 0.486 0.000 0.500

7.
# RbIn2As2

Crystalline RbIn2As2 at its relaxed geometry (GGA-PBE, Alexandria via LeMat-Bulk).

Calculated values
The value obtained for the formation energy is -306 meV per atom. As for the total magnetization: 0.00 μB per formula unit.

Cell: 4.827 4.827 8.246 Å, 90.82 90.82 55.81°
Atoms (fractional coordinates):
Rb1 0.000 0.000 0.000
In1 0.343 0.343 0.630
In2 0.657 0.657 0.370
As1 0.333 0.333 0.289
As2 0.667 0.667 0.711

8.
# CoAs

Crystalline CoAs at its relaxed geometry (GGA-PBE, Alexandria via LeMat-Bulk).

Calculated values
The value obtained for the formation energy is 238 meV per atom. As for the total magnetization: 0.00 μB per formula unit.

Cell: 6.418 6.418 6.418 Å, 90.00 90.00 90.00°
Atoms (fractional coordinates):
Co1 0.000 0.250 0.500
Co2 0.000 0.750 0.500
Co3 0.250 0.500 0.000
Co4 0.500 0.000 0.250
Co5 0.500 0.000 0.750
Co6 0.750 0.500 0.000
As1 0.000 0.500 0.250
As2 0.000 0.500 0.750
As3 0.250 0.000 0.500
As4 0.500 0.250 0.000
As5 0.500 0.750 0.000
As6 0.750 0.000 0.500

9.
# AlCrTc

Crystalline AlCrTc at its relaxed geometry (GGA-PBE, Alexandria via LeMat-Bulk).

Calculated values
The energy above the most stable polymorph in this dataset is 0.0 kJ per mole of atoms. The value obtained for the formation energy is -302 meV per atom. As for the total magnetization: 0.00 μB per formula unit.

Cell: 4.958 4.958 4.958 Å, 144.80 144.80 50.63°
Atoms (fractional coordinates):
Al1 0.000 0.000 0.000
Cr1 0.327 0.327 0.000
Tc1 0.681 0.681 0.000

10.
# Sc4TlZn

Crystalline Sc4TlZn at its relaxed geometry (GGA-PBE, Alexandria via LeMat-Bulk).

Calculated values
The energy above the most stable polymorph in this dataset is 44.6 kJ per mole of atoms. The value obtained for the formation energy is 261 meV per atom. As for the total magnetization: 0.00 μB per formula unit.

Cell: 5.847 5.847 5.847 Å, 60.00 60.00 60.00°
Atoms (fractional coordinates):
Sc1 0.125 0.125 0.125
Sc2 0.125 0.125 0.625
Sc3 0.125 0.625 0.125
Sc4 0.625 0.125 0.125
Tl1 0.750 0.750 0.750
Zn1 0.500 0.500 0.500